(1)
A plane-wave DFT calculation with GGA-PBE was carried out for an optimized crystal structure of Ca4SbAsN.

```
Ca4SbAsN
1.0
-5.716 2.418 2.502
-2.845 -0.469 -6.047
0.503 -8.506 0.423
Ca Sb As N
8 2 2 2
direct
0.917 0.250 0.833 Ca
0.408 0.750 0.815 Ca
0.083 0.750 0.167 Ca
0.592 0.250 0.185 Ca
0.500 0.500 0.500 Ca
0.000 0.000 0.500 Ca
0.500 0.000 0.500 Ca
0.000 0.500 0.500 Ca
0.607 0.750 0.214 Sb
0.393 0.250 0.786 Sb
0.114 0.250 0.229 As
0.886 0.750 0.771 As
0.250 0.750 0.499 N
0.750 0.250 0.501 N
```

Computed properties:
Theoretical density, g/cm³: 3.503
SG: Cmcm (63)
Formation energy (no corrections), eV/f.u.: -7.1
Total DFT energy (no corrections), eV for the cell shown: -64.3
Size of the total moment, μB per atom: 0.000

(2)
A plane-wave DFT calculation with GGA-PBE was carried out for an optimized crystal structure of CaAsSe2N.

```
CaAsSe2N
1.0
5.233 0.000 0.000
0.000 5.233 0.000
0.000 0.000 3.767
As Ca Se N
1 1 2 1
direct
0.000 0.000 0.000 As
0.500 0.500 0.500 Ca
0.000 0.500 0.000 Se
0.500 0.000 0.000 Se
0.000 0.000 0.500 N
```

Computed properties:
Theoretical density, g/cm³: 4.618
Energy above the lowest structure with this stoichiometry, meV per atom: 0.0
SG: P4/mmm (123)
Formation energy (no corrections), eV/f.u.: -0.3
Total DFT energy (no corrections), eV for the cell shown: -22.3
Size of the total moment, μB per atom: 0.000

(3)
A plane-wave DFT calculation with GGA-PBE was carried out for an optimized crystal structure of CaAsSe2N.

```
CaAsSe2N
1.0
-1.132 0.614 4.656
-4.566 -1.266 -0.943
0.937 -3.937 0.747
As Ca Se N
1 1 2 1
direct
0.000 0.000 0.500 As
0.500 0.500 0.500 Ca
0.000 0.500 0.000 Se
0.500 0.000 0.000 Se
0.000 0.000 0.000 N
```

Computed properties:
Theoretical density, g/cm³: 4.961
Energy above the lowest structure with this stoichiometry, meV per atom: 162.0
SG: P4/mmm (123)
Formation energy (no corrections), eV/f.u.: 0.5
Total DFT energy (no corrections), eV for the cell shown: -21.5
Size of the total moment, μB per atom: 0.000

(4)
A plane-wave DFT calculation with GGA-PBE was carried out for an optimized crystal structure of CaAsSeN2.

```
CaAsSeN2
1.0
-1.616 -0.624 -3.529
-3.519 -0.460 1.693
-0.940 5.317 -0.509
As Ca Se N
1 1 1 2
direct
0.000 0.000 0.000 As
0.500 0.500 0.500 Ca
0.000 0.000 0.500 Se
0.000 0.500 0.000 N
0.500 0.000 0.000 N
```

Computed properties:
Theoretical density, g/cm³: 4.397
Energy above the lowest structure with this stoichiometry, meV per atom: 0.0
SG: P4/mmm (123)
Formation energy (no corrections), eV/f.u.: 2.2
Total DFT energy (no corrections), eV for the cell shown: -24.6
Size of the total moment, μB per atom: 0.179

(5)
A plane-wave DFT calculation with GGA-PBE was carried out for an optimized crystal structure of CaAsSe2N.

```
CaAsSe2N
1.0
-4.360 1.587 2.970
-0.666 -5.169 1.785
3.452 1.102 4.480
As Ca Se N
1 1 2 1
direct
0.000 0.000 0.500 As
0.000 0.000 0.000 Ca
0.000 0.500 0.000 Se
0.500 0.000 0.000 Se
0.500 0.500 0.500 N
```

Computed properties:
Theoretical density, g/cm³: 2.725
Energy above the lowest structure with this stoichiometry, meV per atom: 1363.0
SG: P4/mmm (123)
Formation energy (no corrections), eV/f.u.: 6.5
Total DFT energy (no corrections), eV for the cell shown: -15.5
Size of the total moment, μB per atom: 0.570

(6)
A plane-wave DFT calculation with GGA-PBE was carried out for an optimized crystal structure of Ca4AsSeN.

```
Ca4AsSeN
1.0
-2.884 -2.072 -3.029
3.227 0.401 -3.348
2.673 -5.945 5.118
Ca As Se N
4 1 1 1
direct
0.996 0.496 0.991 Ca
0.496 0.996 0.991 Ca
0.836 0.836 0.671 Ca
0.164 0.164 0.328 Ca
0.360 0.360 0.719 As
0.641 0.641 0.282 Se
0.009 0.009 0.018 N
```

Computed properties:
Theoretical density, g/cm³: 3.291
SG: I4mm (107)
Formation energy (no corrections), eV/f.u.: -9.3
Total DFT energy (no corrections), eV for the cell shown: -33.8
Size of the total moment, μB per atom: 0.000